Entry 1:
LaHo3Fe, relaxed, DFT PBE; M_tot = 0.00 μB/f.u.; crystal system = cubic; calculated volume = 29.64 Å³/atom; VASP energy = -26.7 eV/cell
1.0
-3.426 4.027 0.224
-1.434 -1.491 4.871
3.770 3.092 2.057
Fe Ho La
1 3 1
direct
0.000 0.000 0.000 Fe
0.000 0.500 0.000 Ho
0.000 0.000 0.500 Ho
0.500 0.000 0.000 Ho
0.500 0.500 0.500 La

=====

Entry 2:
La2HoFe9, relaxed, DFT PBE; M_tot = 19.05 μB/f.u.; crystal system = trigonal; calculated volume = 15.92 Å³/atom; VASP energy = -90.4 eV/cell
1.0
4.932 0.000 1.468
2.248 4.390 1.468
0.052 0.032 8.845
La Ho Fe
2 1 9
direct
0.859 0.859 0.423 La
0.141 0.141 0.577 La
0.000 0.000 0.000 Ho
0.667 0.667 0.999 Fe
0.333 0.333 0.001 Fe
0.500 0.500 0.500 Fe
0.423 0.423 0.236 Fe
0.918 0.423 0.236 Fe
0.423 0.918 0.236 Fe
0.577 0.577 0.764 Fe
0.577 0.082 0.764 Fe
0.082 0.577 0.764 Fe

=====

Entry 3:
LaHoFe4, relaxed, DFT PBE; M_tot = 7.77 μB/f.u.; crystal system = cubic; calculated volume = 16.68 Å³/atom; VASP energy = -43.3 eV/cell
1.0
5.211 0.000 0.000
2.606 4.513 0.000
2.606 1.504 4.255
Fe Ho La
4 1 1
direct
0.625 0.625 0.124 Fe
0.625 0.124 0.625 Fe
0.625 0.625 0.625 Fe
0.124 0.625 0.625 Fe
0.000 0.000 0.000 Ho
0.250 0.250 0.250 La

=====

Entry 4:
LaHo2Fe9, relaxed, DFT PBE; M_tot = 17.43 μB/f.u.; crystal system = trigonal; calculated volume = 15.45 Å³/atom; VASP energy = -90.6 eV/cell
1.0
4.915 0.000 1.463
2.240 4.375 1.463
0.098 0.060 8.660
La Ho Fe
1 2 9
direct
0.000 0.000 0.000 La
0.858 0.858 0.426 Ho
0.142 0.142 0.574 Ho
0.667 0.667 0.998 Fe
0.333 0.333 0.002 Fe
0.500 0.500 0.500 Fe
0.417 0.417 0.250 Fe
0.915 0.417 0.250 Fe
0.417 0.915 0.250 Fe
0.583 0.583 0.750 Fe
0.583 0.085 0.750 Fe
0.085 0.583 0.750 Fe

=====

Entry 5:
LiLaHoFe, relaxed, DFT PBE; M_tot = 0.81 μB/f.u.; crystal system = cubic; calculated volume = 22.02 Å³/atom; VASP energy = -19.3 eV/cell
1.0
4.995 0.000 0.000
2.497 4.325 0.000
2.497 1.442 4.078
Fe Li Ho La
1 1 1 1
direct
0.500 0.500 0.500 Fe
0.000 0.000 0.000 Li
0.750 0.750 0.750 Ho
0.250 0.250 0.250 La

=====

Entry 6:
LiHo3Fe, relaxed, DFT PBE; M_tot = 0.00 μB/f.u.; crystal system = cubic; calculated volume = 28.02 Å³/atom; VASP energy = -23.5 eV/cell
1.0
5.193 0.000 0.000
0.000 5.193 0.000
0.000 0.000 5.193
Li Ho Fe
1 3 1
direct
0.500 0.500 0.500 Li
0.000 0.500 0.000 Ho
0.000 0.000 0.500 Ho
0.500 0.000 0.000 Ho
0.000 0.000 0.000 Fe